one | Crystalline Mg2SiBr at its relaxed geometry. Source: Alexandria via LeMat-Bulk, functional PBEsol.

Results
size of the total moment: 0.00 μB/cell
calculated density: 3.139 g/cm³
space group: Amm2

a b c (Å): 4.718 5.616 5.616
angles (deg): 33.83 90.00 90.00
Sites, in units of the cell vectors:
Mg: 0.000 0.000 0.000
Mg: 0.500 0.234 0.234
Si: 0.500 0.505 0.505
Br: 0.000 0.757 0.757


two | Crystalline Mg2SiBr at its relaxed geometry. Source: Alexandria via LeMat-Bulk, functional PBEsol.

Results
size of the total moment: 0.00 μB/cell
calculated density: 3.097 g/cm³
space group: Pmmm

a b c (Å): 3.335 4.579 5.498
angles (deg): 90.00 90.00 90.00
Sites, in units of the cell vectors:
Mg: 0.000 0.000 0.000
Mg: 0.500 0.500 0.500
Si: 0.000 0.000 0.500
Br: 0.500 0.500 0.000


Calculated relative energies: one 0.069; two 0.000, given in eV/atom


one | Crystalline Mg2SiBr at its relaxed geometry. Source: Alexandria via LeMat-Bulk, functional PBEsol.

Results
size of the total moment: 0.00 μB/cell
calculated density: 2.909 g/cm³
space group: Imm2

a b c (Å): 7.604 7.604 7.604
angles (deg): 154.03 152.28 38.35
Sites, in units of the cell vectors:
Mg: 0.000 0.000 0.000
Mg: 0.789 0.289 0.500
Si: 0.423 0.423 0.000
Br: 0.172 0.672 0.500


two | Crystalline Mg2SiBr at its relaxed geometry. Source: Alexandria via LeMat-Bulk, functional PBEsol.

Results
size of the total moment: 0.00 μB/cell
calculated density: 2.876 g/cm³
space group: Immm

a b c (Å): 5.331 5.331 5.331
angles (deg): 139.06 109.17 85.19
Sites, in units of the cell vectors:
Mg: 0.246 0.246 0.000
Mg: 0.754 0.754 0.000
Si: 0.000 0.500 0.500
Br: 0.500 0.000 0.500


Calculated relative energies: one 0.000; two 0.254, given in eV/atom


one | Crystalline MgSi2Br at its relaxed geometry. Source: Alexandria via LeMat-Bulk, functional PBEsol.

Results
size of the total moment: 0.00 μB/cell
calculated density: 3.419 g/cm³
space group: Cmmm

a b c (Å): 3.139 3.139 8.950
angles (deg): 90.00 90.00 117.96
Sites, in units of the cell vectors:
Mg: 0.000 0.000 0.000
Si: 0.500 0.500 0.253
Si: 0.500 0.500 0.747
Br: 0.000 0.000 0.500


two | Crystalline MgSi2Br at its relaxed geometry. Source: Alexandria via LeMat-Bulk, functional PBEsol.

Results
size of the total moment: 0.00 μB/cell
calculated density: 3.092 g/cm³
space group: P4mm

a b c (Å): 3.439 3.439 7.285
angles (deg): 90.00 90.00 90.00
Sites, in units of the cell vectors:
Mg: 0.000 0.000 0.000
Si: 0.000 0.000 0.358
Si: 0.500 0.500 0.312
Br: 0.500 0.500 0.812


Calculated relative energies: one 0.570; two 0.000, given in eV/atom


one | Crystalline SrMgBr2 at its relaxed geometry. Source: Alexandria via LeMat-Bulk, functional PBEsol.

Results
size of the total moment: 0.00 μB/cell
calculated density: 3.787 g/cm³
space group: F-43m

a b c (Å): 5.523 5.523 5.523
angles (deg): 60.00 60.00 60.00
Sites, in units of the cell vectors:
Sr: 0.000 0.000 0.000
Mg: 0.250 0.250 0.250
Br: 0.500 0.500 0.500
Br: 0.750 0.750 0.750


two | Crystalline SrMgBr2 at its relaxed geometry. Source: Alexandria via LeMat-Bulk, functional PBEsol.

Results
size of the total moment: 0.00 μB/cell
calculated density: 3.405 g/cm³
space group: Cm

a b c (Å): 7.679 7.679 4.907
angles (deg): 108.00 108.00 28.90
Sites, in units of the cell vectors:
Sr: 0.000 0.000 0.000
Mg: 0.274 0.274 0.808
Br: 0.471 0.471 0.472
Br: 0.669 0.669 0.163


three | Crystalline SrMgBr2 at its relaxed geometry. Source: Alexandria via LeMat-Bulk, functional PBEsol.

Results
size of the total moment: 0.00 μB/cell
calculated density: 4.054 g/cm³
space group: P4/mmm

a b c (Å): 5.104 5.104 4.273
angles (deg): 90.00 90.00 90.00
Sites, in units of the cell vectors:
Sr: 0.000 0.000 0.000
Mg: 0.500 0.500 0.000
Br: 0.000 0.500 0.500
Br: 0.500 0.000 0.500


Calculated relative energies: one 0.328; two 0.000; three 0.082, given in eV/atom


one | Crystalline Mg2TaBr at its relaxed geometry. Source: Alexandria via LeMat-Bulk, functional PBEsol.

Results
size of the total moment: 0.00 μB/cell
calculated density: 6.493 g/cm³
space group: Pmmm

a b c (Å): 3.075 4.893 5.259
angles (deg): 90.00 90.00 90.00
Sites, in units of the cell vectors:
Mg: 0.000 0.000 0.000
Mg: 0.500 0.500 0.000
Ta: 0.000 0.500 0.500
Br: 0.500 0.000 0.500


two | Crystalline Mg2TaBr at its relaxed geometry. Source: Alexandria via LeMat-Bulk, functional PBEsol.

Results
size of the total moment: 0.00 μB/cell
calculated density: 6.421 g/cm³
space group: F-43m

a b c (Å): 4.837 4.837 4.837
angles (deg): 60.00 60.00 60.00
Sites, in units of the cell vectors:
Mg: 0.000 0.000 0.000
Mg: 0.250 0.250 0.250
Ta: 0.750 0.750 0.750
Br: 0.500 0.500 0.500


Calculated relative energies: one 0.000; two 0.275, given in eV/atom


one | Crystalline MgTcBr2 at its relaxed geometry. Source: Alexandria via LeMat-Bulk, functional PBEsol.

Results
size of the total moment: 0.01 μB/cell
calculated density: 5.229 g/cm³
space group: Amm2

a b c (Å): 3.321 7.605 7.605
angles (deg): 27.80 90.00 90.00
Sites, in units of the cell vectors:
Mg: 0.000 0.000 0.000
Tc: 0.500 0.578 0.578
Br: 0.000 0.699 0.699
Br: 0.500 0.404 0.404


two | Crystalline MgTcBr2 at its relaxed geometry. Source: Alexandria via LeMat-Bulk, functional PBEsol.

Results
size of the total moment: 0.00 μB/cell
calculated density: 6.740 g/cm³
space group: P4/mmm

a b c (Å): 4.634 4.634 3.237
angles (deg): 90.00 90.00 90.00
Sites, in units of the cell vectors:
Mg: 0.000 0.000 0.000
Tc: 0.500 0.500 0.000
Br: 0.000 0.500 0.500
Br: 0.500 0.000 0.500


Calculated relative energies: one 0.000; two 0.492, given in eV/atom


one | Crystalline Mg2TeBr at its relaxed geometry. Source: Alexandria via LeMat-Bulk, functional PBEsol.

Results
size of the total moment: 0.00 μB/cell
calculated density: 4.035 g/cm³
space group: C2/m

a b c (Å): 5.453 5.453 3.938
angles (deg): 107.79 107.79 90.80
Sites, in units of the cell vectors:
Mg: 0.000 0.500 0.000
Mg: 0.500 0.000 0.000
Te: 0.000 0.000 0.500
Br: 0.500 0.500 0.500


two | Crystalline Mg2TeBr at its relaxed geometry. Source: Alexandria via LeMat-Bulk, functional PBEsol.

Results
size of the total moment: 0.00 μB/cell
calculated density: 3.904 g/cm³
space group: R3m

a b c (Å): 9.966 9.966 9.966
angles (deg): 20.76 20.76 20.76
Sites, in units of the cell vectors:
Mg: 0.000 0.000 0.000
Mg: 0.248 0.248 0.248
Te: 0.737 0.737 0.737
Br: 0.527 0.527 0.527


three | Crystalline Mg2TeBr at its relaxed geometry. Source: Alexandria via LeMat-Bulk, functional PBEsol.

Results
size of the total moment: 0.00 μB/cell
calculated density: 4.088 g/cm³
space group: P4/mmm

a b c (Å): 4.198 4.198 5.904
angles (deg): 90.00 90.00 90.00
Sites, in units of the cell vectors:
Mg: 0.000 0.000 0.000
Mg: 0.500 0.500 0.500
Te: 0.000 0.000 0.500
Br: 0.500 0.500 0.000


Calculated relative energies: one 0.157; two 0.185; three 0.000, given in eV/atom


one | Crystalline MgTeBr2 at its relaxed geometry. Source: Alexandria via LeMat-Bulk, functional PBEsol.

Results
size of the total moment: 0.00 μB/cell
calculated density: 4.545 g/cm³
space group: P4/mmm

a b c (Å): 3.276 3.276 10.614
angles (deg): 90.00 90.00 90.00
Sites, in units of the cell vectors:
Mg: 0.000 0.000 0.000
Te: 0.000 0.000 0.500
Br: 0.500 0.500 0.154
Br: 0.500 0.500 0.846


two | Crystalline MgTeBr2 at its relaxed geometry. Source: Alexandria via LeMat-Bulk, functional PBEsol.

Results
size of the total moment: 0.00 μB/cell
calculated density: 5.088 g/cm³
space group: Pmmm

a b c (Å): 3.623 4.637 6.055
angles (deg): 90.00 90.00 90.00
Sites, in units of the cell vectors:
Mg: 0.000 0.000 0.000
Te: 0.500 0.000 0.500
Br: 0.000 0.500 0.500
Br: 0.500 0.500 0.000


Calculated relative energies: one 0.000; two 0.264, given in eV/atom


one | Crystalline Mg2WBr at its relaxed geometry. Source: Alexandria via LeMat-Bulk, functional PBEsol.

Results
size of the total moment: 0.03 μB/cell
calculated density: 6.925 g/cm³
space group: I-4m2

a b c (Å): 5.404 5.404 5.404
angles (deg): 136.09 136.09 63.85
Sites, in units of the cell vectors:
Mg: 0.000 0.000 0.000
Mg: 0.750 0.250 0.500
W: 0.500 0.500 0.000
Br: 0.250 0.750 0.500


two | Crystalline Mg2WBr at its relaxed geometry. Source: Alexandria via LeMat-Bulk, functional PBEsol.

Results
size of the total moment: 0.10 μB/cell
calculated density: 5.858 g/cm³
space group: Imm2

a b c (Å): 6.711 6.711 6.711
angles (deg): 153.87 138.10 50.05
Sites, in units of the cell vectors:
Mg: 0.000 0.000 0.000
Mg: 0.650 0.150 0.500
W: 0.192 0.692 0.500
Br: 0.360 0.360 0.000


Calculated relative energies: one 0.399; two 0.000, given in eV/atom


one | Crystalline Y2MgBr at its relaxed geometry. Source: Alexandria via LeMat-Bulk, functional PBEsol.

Results
size of the total moment: 0.00 μB/cell
calculated density: 4.680 g/cm³
space group: P4/mmm

a b c (Å): 3.413 3.413 8.590
angles (deg): 90.00 90.00 90.00
Sites, in units of the cell vectors:
Y: 0.000 0.000 0.237
Y: 0.000 0.000 0.763
Mg: 0.500 0.500 0.500
Br: 0.500 0.500 0.000


two | Crystalline Y2MgBr at its relaxed geometry. Source: Alexandria via LeMat-Bulk, functional PBEsol.

Results
size of the total moment: 0.00 μB/cell
calculated density: 4.229 g/cm³
space group: Immm

a b c (Å): 6.356 6.356 6.356
angles (deg): 148.11 124.36 65.58
Sites, in units of the cell vectors:
Y: 0.220 0.220 0.000
Y: 0.780 0.780 0.000
Mg: 0.500 0.000 0.500
Br: 0.000 0.500 0.500


Calculated relative energies: one 0.000; two 0.089, given in eV/atom


one | Crystalline YMgBr2 at its relaxed geometry. Source: Alexandria via LeMat-Bulk, functional PBEsol.

Results
size of the total moment: 0.00 μB/cell
calculated density: 4.617 g/cm³
space group: I-4m2

a b c (Å): 6.585 6.585 6.585
angles (deg): 143.98 143.98 51.85
Sites, in units of the cell vectors:
Y: 0.000 0.000 0.000
Mg: 0.250 0.750 0.500
Br: 0.500 0.500 0.000
Br: 0.750 0.250 0.500


two | Crystalline YMgBr2 at its relaxed geometry. Source: Alexandria via LeMat-Bulk, functional PBEsol.

Results
size of the total moment: 0.00 μB/cell
calculated density: 4.260 g/cm³
space group: P2/m

a b c (Å): 3.638 4.742 6.170
angles (deg): 90.00 90.70 90.00
Sites, in units of the cell vectors:
Y: 0.000 0.000 0.000
Mg: 0.500 0.000 0.500
Br: 0.220 0.500 0.241
Br: 0.780 0.500 0.759


Calculated relative energies: one 0.102; two 0.000, given in eV/atom


one | Crystalline Mg2ZnBr at its relaxed geometry. Source: Alexandria via LeMat-Bulk, functional PBEsol.

Results
size of the total moment: 0.00 μB/cell
calculated density: 3.738 g/cm³
space group: P2/m

a b c (Å): 3.390 3.283 7.740
angles (deg): 90.00 90.10 90.00
Sites, in units of the cell vectors:
Mg: 0.001 0.000 0.213
Mg: 0.999 0.000 0.787
Zn: 0.500 0.500 0.000
Br: 0.000 0.500 0.500


two | Crystalline Mg2ZnBr at its relaxed geometry. Source: Alexandria via LeMat-Bulk, functional PBEsol.

Results
size of the total moment: 0.00 μB/cell
calculated density: 3.333 g/cm³
space group: F-43m

a b c (Å): 5.151 5.151 5.151
angles (deg): 60.00 60.00 60.00
Sites, in units of the cell vectors:
Mg: 0.000 0.000 0.000
Mg: 0.250 0.250 0.250
Zn: 0.750 0.750 0.750
Br: 0.500 0.500 0.500


Calculated relative energies: one 0.000; two 0.519, given in eV/atom


one | Crystalline MnMo2Br at its relaxed geometry. Source: Alexandria via LeMat-Bulk, functional PBEsol.

Results
size of the total moment: 2.90 μB/cell
calculated density: 8.805 g/cm³
space group: I4/mmm

a b c (Å): 5.246 5.246 5.246
angles (deg): 138.96 138.96 59.43
Sites, in units of the cell vectors:
Mn: 0.000 0.000 0.000
Mo: 0.250 0.750 0.500
Mo: 0.750 0.250 0.500
Br: 0.500 0.500 0.000


two | Crystalline MnMo2Br at its relaxed geometry. Source: Alexandria via LeMat-Bulk, functional PBEsol.

Results
size of the total moment: 0.79 μB/cell
calculated density: 9.046 g/cm³
space group: R-3m

a b c (Å): 8.378 8.378 8.378
angles (deg): 19.96 19.96 19.96
Sites, in units of the cell vectors:
Mn: 0.000 0.000 0.000
Mo: 0.256 0.256 0.256
Mo: 0.744 0.744 0.744
Br: 0.500 0.500 0.500


Calculated relative energies: one 0.306; two 0.000, given in eV/atom


one | Crystalline Mn2MoBr at its relaxed geometry. Source: Alexandria via LeMat-Bulk, functional PBEsol.

Results
size of the total moment: 3.95 μB/cell
calculated density: 8.251 g/cm³
space group: C2/m

a b c (Å): 4.521 4.521 4.580
angles (deg): 94.48 94.48 38.06
Sites, in units of the cell vectors:
Mn: 0.240 0.240 0.224
Mn: 0.760 0.760 0.776
Mo: 0.500 0.500 0.000
Br: 0.000 0.000 0.500


two | Crystalline Mn2MoBr at its relaxed geometry. Source: Alexandria via LeMat-Bulk, functional PBEsol.

Results
size of the total moment: 0.95 μB/cell
calculated density: 8.651 g/cm³
space group: Pmmm

a b c (Å): 2.893 4.279 4.430
angles (deg): 90.00 90.00 90.00
Sites, in units of the cell vectors:
Mn: 0.000 0.000 0.000
Mn: 0.500 0.000 0.500
Mo: 0.000 0.500 0.500
Br: 0.500 0.500 0.000


Calculated relative energies: one 0.037; two 0.000, given in eV/atom